Below is crystalline Sr2SnBi at its relaxed geometry, with properties calculated at the GGA-PBE level.

abc: 5.818 5.818 5.818
angles: 60.00 60.00 60.00
Element x y z (fractional)
Sr1 0.250 0.250 0.250
Sr2 0.750 0.750 0.750
Sn1 0.000 0.000 0.000
Bi1 0.500 0.500 0.500

Computed properties:
Calculated formation energy (eV per atom): -0.623
Offset from the most stable computed form (eV/atom): 0.0446

=====

Below is crystalline HfCdW3 at its relaxed geometry, with properties calculated at the GGA-PBE level.

abc: 4.828 4.828 4.828
angles: 90.00 90.00 90.00
Element x y z (fractional)
Hf1 0.000 0.000 0.000
Cd1 0.500 0.500 0.500
W1 0.000 0.500 0.500
W2 0.500 0.000 0.500
W3 0.500 0.500 0.000

Computed properties:
Calculated formation energy (eV per atom): 2.601
Offset from the most stable computed form (eV/atom): 0.2472

=====

Below is crystalline CeSiAu2 at its relaxed geometry, with properties calculated at the GGA-PBE level.

abc: 4.091 4.317 5.126
angles: 90.00 103.87 90.00
Element x y z (fractional)
Ce1 0.000 0.000 0.000
Si1 0.500 0.000 0.500
Au1 0.343 0.500 0.720
Au2 0.657 0.500 0.280

Computed properties:
Formation energy without anion corrections (eV per atom): -0.36

=====

Below is crystalline CaSm2Os at its relaxed geometry, with properties calculated at the GGA-PBE level.

abc: 9.548 9.548 9.548
angles: 24.99 24.99 24.99
Element x y z (fractional)
Ca1 0.000 0.000 0.000
Sm1 0.219 0.219 0.219
Sm2 0.781 0.781 0.781
Os1 0.500 0.500 0.500

Computed properties:
Calculated formation energy (eV per atom): 0.075
Offset from the most stable computed form (eV/atom): 0.1195

=====

Below is crystalline TmMg11 at its relaxed geometry, with properties calculated at the GGA-PBE level.

abc: 9.425 9.425 9.425
angles: 100.03 100.03 130.66
Element x y z (fractional)
Tm1 0.375 0.625 0.750
Tm2 0.625 0.375 0.250
Mg1 0.000 0.000 0.000
Mg2 0.000 0.000 0.500
Mg3 0.000 0.500 0.000
Mg4 0.125 0.875 0.250
Mg5 0.128 0.553 0.333
Mg6 0.128 0.796 0.575
Mg7 0.204 0.280 0.333
Mg8 0.204 0.872 0.925
Mg9 0.280 0.204 0.833
Mg10 0.280 0.447 0.075
Mg11 0.447 0.280 0.575
Mg12 0.447 0.872 0.167
Mg13 0.500 0.000 0.500
Mg14 0.553 0.128 0.833
Mg15 0.553 0.720 0.425
Mg16 0.720 0.553 0.925
Mg17 0.720 0.796 0.167
Mg18 0.796 0.128 0.075
Mg19 0.796 0.720 0.667
Mg20 0.872 0.204 0.425
Mg21 0.872 0.447 0.667
Mg22 0.875 0.125 0.750

Computed properties:
Calculated formation energy (eV per atom): 0.057

=====

Below is crystalline Na4Sc3SnSe8 at its relaxed geometry, with properties calculated at the GGA-PBE level.

abc: 8.350 8.350 8.350
angles: 57.24 57.24 57.24
Element x y z (fractional)
Na1 0.000 0.000 0.000
Na2 0.000 0.500 0.500
Na3 0.500 0.000 0.500
Na4 0.500 0.500 0.000
Sc1 0.000 0.000 0.500
Sc2 0.000 0.500 0.000
Sc3 0.500 0.000 0.000
Sn1 0.500 0.500 0.500
Se1 0.230 0.745 0.745
Se2 0.239 0.239 0.239
Se3 0.255 0.255 0.770
Se4 0.255 0.770 0.255
Se5 0.745 0.230 0.745
Se6 0.745 0.745 0.230
Se7 0.761 0.761 0.761
Se8 0.770 0.255 0.255

Computed properties:
Formation energy without anion corrections (eV per atom): -1.36

=====

| no. | calculated total energy (eV/atom) | total magnetization (μB per formula unit) |
| --- | --- | --- |
| 1 | -3.4351 | 0.00 |
| 2 | -7.3448 | 0.00 |
| 3 | -4.8383 | 0.77 |
| 4 | -5.5929 | 0.00 |
| 5 | -1.7771 | 0.00 |
| 6 | -4.8662 | 0.00 |